First-principles (GGA-PBEsol) data for an optimized crystal structure of BeCu2Cl, as listed in Alexandria.

```
BeCu2Cl
1.0
1.4844 -2.3669 0.0000
1.4844 2.3669 0.0000
0.0000 0.0000 7.8782
Be Cu Cl
1 2 1
direct
0.0000 0.0000 0.0000
0.0000 0.0000 0.4585
0.5000 0.5000 0.2178
0.5000 0.5000 0.8232
```

Results
formation energy (no corrections) = 0.16 eV/atom